Entry 1:
Entry from OQMD: a geometry-optimized HoGeNO structure (PBE).

- Distance to the lowest polymorph of the same formula: 1.329 eV/f.u.
- Calculated volume: 15.37 Å³ per atom
- Space-group type: Pmc2_1, No. 26

Cell and atoms, written as CIF:
```
data_HoGeNO
_chemical_formula_sum 'Ho2 Ge2 N2 O2'
_cell_length_a 3.845
_cell_length_b 4.892
_cell_length_c 6.535
_cell_angle_alpha 90.00
_cell_angle_beta 90.00
_cell_angle_gamma 90.00
_space_group_name_H-M_alt 'P 1'
_space_group_IT_number 1
_space_group_name_Hall 'P 1'
loop_
_atom_site_label
_atom_site_type_symbol
_atom_site_fract_x
_atom_site_fract_y
_atom_site_fract_z
Ge1 Ge 0.000 0.439 0.333
Ge2 Ge 0.000 0.939 0.667
Ho1 Ho 0.500 0.967 0.199
Ho2 Ho 0.500 0.467 0.801
N1 N 0.000 0.822 0.372
N2 N 0.000 0.322 0.628
O1 O 0.500 0.526 0.127
O2 O 0.500 0.026 0.873
```



Entry 2:
Entry from OQMD: a geometry-optimized ErNiPd structure (PBE).

- Distance to the lowest polymorph of the same formula: 1.127 eV/f.u.
- Calculated volume: 20.57 Å³ per atom
- Space-group type: F-43m, No. 216
- Energy relative to the elements: -0.057 eV/atom

Cell and atoms, written as CIF:
```
data_ErNiPd
_chemical_formula_sum 'Er1 Ni1 Pd1'
_cell_length_a 4.436
_cell_length_b 4.436
_cell_length_c 4.436
_cell_angle_alpha 60.00
_cell_angle_beta 60.00
_cell_angle_gamma 60.00
_space_group_name_H-M_alt 'P 1'
_space_group_IT_number 1
_space_group_name_Hall 'P 1'
loop_
_atom_site_label
_atom_site_type_symbol
_atom_site_fract_x
_atom_site_fract_y
_atom_site_fract_z
Er1 Er 0.000 0.000 0.000
Ni1 Ni 0.250 0.250 0.250
Pd1 Pd 0.750 0.750 0.750
```



Entry 3:
Entry from OQMD: a geometry-optimized ScFeTcGe structure (PBE).

- Distance to the lowest polymorph of the same formula: 0.613 eV/f.u.
- Calculated volume: 15.36 Å³ per atom
- Space-group type: F-43m, No. 216

Cell and atoms, written as CIF:
```
data_ScFeTcGe
_chemical_formula_sum 'Sc1 Fe1 Tc1 Ge1'
_cell_length_a 4.430
_cell_length_b 4.430
_cell_length_c 4.430
_cell_angle_alpha 60.00
_cell_angle_beta 60.00
_cell_angle_gamma 60.00
_space_group_name_H-M_alt 'P 1'
_space_group_IT_number 1
_space_group_name_Hall 'P 1'
loop_
_atom_site_label
_atom_site_type_symbol
_atom_site_fract_x
_atom_site_fract_y
_atom_site_fract_z
Fe1 Fe 0.750 0.750 0.750
Ge1 Ge 0.000 0.000 0.000
Sc1 Sc 0.250 0.250 0.250
Tc1 Tc 0.500 0.500 0.500
```



Entry 4:
Entry from OQMD: a geometry-optimized YCdBi structure (PBE).

- Distance to the lowest polymorph of the same formula: 0.000 eV/f.u.
- Calculated volume: 32.58 Å³ per atom
- Space-group type: F-43m, No. 216

Cell and atoms, written as CIF:
```
data_YCdBi
_chemical_formula_sum 'Y1 Cd1 Bi1'
_cell_length_a 5.170
_cell_length_b 5.170
_cell_length_c 5.170
_cell_angle_alpha 60.00
_cell_angle_beta 60.00
_cell_angle_gamma 60.00
_space_group_name_H-M_alt 'P 1'
_space_group_IT_number 1
_space_group_name_Hall 'P 1'
loop_
_atom_site_label
_atom_site_type_symbol
_atom_site_fract_x
_atom_site_fract_y
_atom_site_fract_z
Bi1 Bi 0.250 0.250 0.250
Cd1 Cd 0.750 0.750 0.750
Y1 Y 0.000 0.000 0.000
```



Entry 5:
Entry from OQMD: a geometry-optimized Cd2AgPb structure (PBE).

- Calculated volume: 23.55 Å³ per atom
- Space-group type: F-43m, No. 216
- Energy: -1.978 eV per atom

Cell and atoms, written as CIF:
```
data_Cd2AgPb
_chemical_formula_sum 'Cd2 Ag1 Pb1'
_cell_length_a 5.107
_cell_length_b 5.107
_cell_length_c 5.107
_cell_angle_alpha 60.00
_cell_angle_beta 60.00
_cell_angle_gamma 60.00
_space_group_name_H-M_alt 'P 1'
_space_group_IT_number 1
_space_group_name_Hall 'P 1'
loop_
_atom_site_label
_atom_site_type_symbol
_atom_site_fract_x
_atom_site_fract_y
_atom_site_fract_z
Ag1 Ag 0.250 0.250 0.250
Cd1 Cd 0.000 0.000 0.000
Cd2 Cd 0.750 0.750 0.750
Pb1 Pb 0.500 0.500 0.500
```



Entry 6:
Entry from OQMD: a geometry-optimized RbZnCo structure (PBE).

- Distance to the lowest polymorph of the same formula: 0.117 eV/f.u.
- Calculated volume: 30.95 Å³ per atom
- Space-group type: F-43m, No. 216

Cell and atoms, written as CIF:
```
data_RbZnCo
_chemical_formula_sum 'Rb1 Zn1 Co1'
_cell_length_a 5.083
_cell_length_b 5.083
_cell_length_c 5.083
_cell_angle_alpha 60.00
_cell_angle_beta 60.00
_cell_angle_gamma 60.00
_space_group_name_H-M_alt 'P 1'
_space_group_IT_number 1
_space_group_name_Hall 'P 1'
loop_
_atom_site_label
_atom_site_type_symbol
_atom_site_fract_x
_atom_site_fract_y
_atom_site_fract_z
Co1 Co 0.000 0.000 0.000
Rb1 Rb 0.500 0.500 0.500
Zn1 Zn 0.250 0.250 0.250
```